Entry 1:
{
  "formula": "Mg17Tl12",
  "functional": "PBEsol",
  "state": "optimized geometry",
  "lattice_angstrom": [[9.6940, 0.0000, 0.0000], [-3.2313, 9.1396, 0.0000], [-3.2313, -4.5698, 7.9151]],
  "species": ["Mg", "Mg", "Mg", "Mg", "Mg", "Mg", "Mg", "Mg", "Mg", "Mg", "Mg", "Mg", "Mg", "Mg", "Mg", "Mg", "Mg", "Tl", "Tl", "Tl", "Tl", "Tl", "Tl", "Tl", "Tl", "Tl", "Tl", "Tl", "Tl"],
  "frac_coords": [[0.0000, 0.6916, 0.4090], [0.0000, 0.0000, 0.0000], [0.3315, 0.3315, 0.3315], [0.0000, 0.0000, 0.6685], [0.2826, 0.5910, 0.5910], [0.3084, 0.3084, 0.7174], [0.3084, 0.7174, 0.3084], [0.0000, 0.4090, 0.6916], [0.0000, 0.6685, 0.0000], [0.4090, 0.0000, 0.6916], [0.5910, 0.2826, 0.5910], [0.6916, 0.0000, 0.4090], [0.4090, 0.6916, 0.0000], [0.6916, 0.4090, 0.0000], [0.5910, 0.5910, 0.2826], [0.6685, 0.0000, 0.0000], [0.7174, 0.3084, 0.3084], [0.0000, 0.1989, 0.3918], [0.3918, 0.1989, 0.0000], [0.0000, 0.3918, 0.1989], [0.3918, 0.0000, 0.1989], [0.8011, 0.1929, 0.8011], [0.6082, 0.6082, 0.8071], [0.8011, 0.8011, 0.1929], [0.8071, 0.6082, 0.6082], [0.1929, 0.8011, 0.8011], [0.6082, 0.8071, 0.6082], [0.1989, 0.3918, 0.0000], [0.1989, 0.0000, 0.3918]],
  "e_tot_ev_per_atom": -2.0988,
  "vol_a3_per_atom": 24.2,
  "e_form_ev_per_atom": -0.004,
  "magmom_total_mub_per_fu": 0.00
}

Entry 2:
{
  "formula": "MgTl2",
  "functional": "PBEsol",
  "state": "optimized geometry",
  "lattice_angstrom": [[4.6884, 0.0000, 0.0000], [0.0000, 6.5389, 0.0000], [0.0000, 0.0000, 9.9616]],
  "species": ["Tl", "Tl", "Tl", "Tl", "Tl", "Tl", "Tl", "Tl", "Mg", "Mg", "Mg", "Mg"],
  "frac_coords": [[0.2500, 0.1483, 0.5709], [0.7500, 0.8517, 0.4291], [0.2500, 0.0903, 0.2347], [0.2500, 0.5903, 0.2653], [0.7500, 0.4097, 0.7347], [0.7500, 0.9097, 0.7653], [0.7500, 0.3517, 0.0709], [0.2500, 0.6483, 0.9291], [0.7500, 0.8511, 0.0957], [0.2500, 0.6489, 0.5957], [0.2500, 0.1489, 0.9043], [0.7500, 0.3511, 0.4043]],
  "e_tot_ev_per_atom": -2.3549,
  "de_polymorph_ev_per_atom": 0.0120,
  "vol_a3_per_atom": 25.4,
  "e_form_ev_per_atom": -0.029,
  "magmom_total_mub_per_fu": 0.00
}

Entry 3:
{
  "formula": "MgTl3",
  "functional": "PBEsol",
  "state": "optimized geometry",
  "lattice_angstrom": [[-1.6834, 1.2640, 2.7005], [-0.6344, -4.9635, 1.9277], [4.9794, 0.4815, 2.8786]],
  "species": ["Tl", "Tl", "Tl", "Mg"],
  "frac_coords": [[0.5000, 0.0000, 0.4881], [0.0000, 0.5000, 0.3407], [0.5000, 0.5000, 0.8477], [0.0000, 0.0000, 0.9902]],
  "e_tot_ev_per_atom": -2.4061,
  "vol_a3_per_atom": 26.5,
  "e_form_ev_per_atom": -0.004,
  "magmom_total_mub_per_fu": 0.00
}

Entry 4:
{
  "formula": "Mg3Tl",
  "functional": "PBEsol",
  "state": "optimized geometry",
  "lattice_angstrom": [[3.2048, 0.0000, 0.0000], [0.0000, 5.5706, -0.0160], [-1.6024, -0.9386, 5.1672]],
  "species": ["Mg", "Mg", "Mg", "Tl"],
  "frac_coords": [[0.2508, 0.7477, 0.5017], [0.5000, 0.5000, 0.0000], [0.7492, 0.2523, 0.4983], [0.0000, 0.0000, 0.0000]],
  "e_tot_ev_per_atom": -1.9865,
  "vol_a3_per_atom": 23.0,
  "e_form_ev_per_atom": -0.041,
  "magmom_total_mub_per_fu": 0.00
}

Entry 5:
{
  "formula": "MgTl3",
  "functional": "PBEsol",
  "state": "optimized geometry",
  "lattice_angstrom": [[-1.7591, 1.5949, -4.8379], [-0.9353, -6.4381, -1.7824], [-4.9944, 3.4424, 2.9509]],
  "species": ["Tl", "Tl", "Tl", "Tl", "Tl", "Tl", "Mg", "Mg"],
  "frac_coords": [[0.7500, 0.1689, 0.8311], [0.7500, 0.6622, 0.8311], [0.2500, 0.8311, 0.6622], [0.7500, 0.1689, 0.3378], [0.2500, 0.8311, 0.1689], [0.2500, 0.3378, 0.1689], [0.7500, 0.6667, 0.3333], [0.2500, 0.3333, 0.6667]],
  "e_tot_ev_per_atom": -2.3997,
  "vol_a3_per_atom": 26.5,
  "e_form_ev_per_atom": 0.002,
  "magmom_total_mub_per_fu": 0.00
}

Entry 6:
{
  "formula": "Mg3Tl",
  "functional": "PBEsol",
  "state": "optimized geometry",
  "lattice_angstrom": [[-1.1861, 0.9795, 2.9336], [-2.5195, -1.6347, 1.3972], [5.1940, -6.1992, 6.0400]],
  "species": ["Tl", "Mg", "Mg", "Mg"],
  "frac_coords": [[0.0000, 0.0000, 0.0000], [0.2507, 0.2507, 0.2480], [0.7493, 0.7493, 0.7520], [0.5000, 0.5000, 0.5000]],
  "e_tot_ev_per_atom": -1.9577,
  "vol_a3_per_atom": 23.5,
  "e_form_ev_per_atom": -0.012,
  "magmom_total_mub_per_fu": 0.00
}

Entry 7:
{
  "formula": "MgTl3",
  "functional": "PBEsol",
  "state": "optimized geometry",
  "lattice_angstrom": [[3.3901, 0.0000, 0.0000], [-1.1300, 6.0383, 0.0000], [-1.1300, -3.0192, 5.2294]],
  "species": ["Tl", "Tl", "Tl", "Mg"],
  "frac_coords": [[0.5000, 0.0000, 0.5000], [0.0000, 0.5000, 0.5000], [0.5000, 0.5000, 0.0000], [0.0000, 0.0000, 0.0000]],
  "e_tot_ev_per_atom": -2.3968,
  "vol_a3_per_atom": 26.8,
  "e_form_ev_per_atom": 0.005,
  "magmom_total_mub_per_fu": 0.00
}

Entry 8:
{
  "formula": "Mg3Tl",
  "functional": "PBEsol",
  "state": "optimized geometry",
  "lattice_angstrom": [[-1.9516, -0.2907, 2.6400], [2.2819, -2.2951, -0.6232], [6.6246, 5.1044, 5.4592]],
  "species": ["Mg", "Mg", "Mg", "Tl"],
  "frac_coords": [[0.0000, 0.0000, 0.2499], [0.3333, 0.6667, 0.0000], [0.0000, 0.0000, 0.7501], [0.3333, 0.6667, 0.5000]],
  "e_tot_ev_per_atom": -1.9619,
  "vol_a3_per_atom": 23.5,
  "e_form_ev_per_atom": -0.017,
  "magmom_total_mub_per_fu": 0.00
}

| no. | N(E_F) (states/eV per atom) |
| --- | --- |
| 1 | 0.44 |
| 2 | 0.42 |
| 3 | 0.51 |
| 4 | 0.41 |
| 5 | 0.52 |
| 6 | 0.49 |
| 7 | 0.41 |
| 8 | 0.42 |